1.
ZnCo2Ge2: optimized geometry, PBE.

The structure belongs to space group P4/mbm (No. 127); the cell edges are 7.000, 7.000 and 2.697 Å and the angles 90.00°, 90.00° and 90.00°. The asymmetric unit holds Zn at (0.000, 0.000, 0.000), Co at (0.145, 0.355, 0.500) and Ge at (0.150, 0.650, 0.000).

As for the crystal system: tetragonal. For the total energy, the calculation gives -49.47 eV for the cell shown. The formation energy comes out at -0.0032 eV per atom. The value obtained for the calculated density is 8.3 g cm⁻³.



2.
ZnCo2Ge: optimized geometry, PBE.

The structure belongs to space group Fm-3m (No. 225); the cell edges are 5.741, 5.741 and 5.741 Å and the angles 90.00°, 90.00° and 90.00°. The asymmetric unit holds Zn at (0.000, 0.000, 0.000), Co at (0.250, 0.250, 0.250) and Ge at (0.000, 0.000, 0.500).

The calculation puts the polymorph energy (0 for the lowest one) at 0 kJ/mol of formula units. As for the crystal system: cubic. For the total energy, the calculation gives -82.63 eV for the cell shown. The formation energy comes out at -0.1386 eV per atom. The value obtained for the calculated density is 9.0 g cm⁻³.



3.
Zn2CoGe: optimized geometry, PBE.

The structure belongs to space group P4/mmm (No. 123); the cell edges are 3.724, 3.724 and 3.889 Å and the angles 90.00°, 90.00° and 90.00°. The asymmetric unit holds Zn at (0.000, 0.500, 0.000), Co at (0.000, 0.000, 0.500) and Ge at (0.500, 0.500, 0.500).

As for the crystal system: tetragonal. For the total energy, the calculation gives -13.95 eV for the cell shown. The formation energy comes out at 0.0798 eV per atom. The value obtained for the calculated density is 8.1 g cm⁻³.